{"formula": "LaZrP", "functional": "PBE-GGA", "state": "optimized geometry", "delta_e_f_mev_per_atom": -593.2, "space_group": "No. 187", "polymorph_energy_mev_per_atom": 208, "magnetic_moment_mub_per_fu": 0.9, "total_energy_ev_per_atom": -6.888, "cell": [[2.245, -3.888, 0.000], [2.245, 3.888, 0.000], [0.000, 0.000, 4.277]], "species": ["Zr", "P", "La"], "fractional_positions": [[0.667, 0.333, 0.500], [0.333, 0.667, 0.500], [0.000, 0.000, 0.000]]}

{"formula": "CdBiAu4", "functional": "PBE-GGA", "state": "optimized geometry", "delta_e_f_mev_per_atom": -29.5, "space_group": "No. 216", "polymorph_energy_mev_per_atom": 0, "magnetic_moment_mub_per_fu": 0.0, "total_energy_ev_per_atom": -3.014, "cell": [[-5.102, -2.255, 0.844], [-2.037, -3.807, -3.631], [-0.474, -5.404, 1.549]], "species": ["Au", "Au", "Au", "Au", "Cd", "Bi"], "fractional_positions": [[0.625, 0.625, 0.124], [0.625, 0.124, 0.625], [0.124, 0.625, 0.625], [0.625, 0.625, 0.625], [0.000, 0.000, 0.000], [0.250, 0.250, 0.250]]}

{"formula": "Nd3Y3Er", "functional": "PBE-GGA", "state": "optimized geometry", "delta_e_f_mev_per_atom": 245.1, "space_group": "No. 148", "polymorph_energy_mev_per_atom": 77, "magnetic_moment_mub_per_fu": 0.0, "total_energy_ev_per_atom": -5.220, "cell": [[8.782, 0.000, 0.000], [4.391, 7.606, 0.000], [4.391, 2.535, 7.238]], "species": ["Nd", "Nd", "Nd", "Nd", "Nd", "Nd", "Y", "Y", "Y", "Y", "Y", "Y", "Er", "Er"], "fractional_positions": [[0.938, 0.182, 0.175], [0.062, 0.818, 0.825], [0.818, 0.295, 0.825], [0.705, 0.938, 0.175], [0.182, 0.705, 0.175], [0.295, 0.062, 0.825], [0.062, 0.569, 0.644], [0.938, 0.431, 0.356], [0.275, 0.938, 0.356], [0.569, 0.725, 0.644], [0.725, 0.062, 0.644], [0.431, 0.275, 0.356], [0.649, 0.649, 0.052], [0.351, 0.351, 0.948]]}

{"formula": "CuOs4Ru", "functional": "PBE-GGA", "state": "optimized geometry", "delta_e_f_mev_per_atom": 883.4, "space_group": "No. 216", "magnetic_moment_mub_per_fu": 1.1, "total_energy_ev_per_atom": -8.832, "cell": [[-1.336, -2.994, 3.901], [-4.922, -0.628, 1.160], [-2.275, -4.473, -0.885]], "species": ["Os", "Os", "Os", "Os", "Cu", "Ru"], "fractional_positions": [[0.625, 0.125, 0.625], [0.625, 0.625, 0.625], [0.625, 0.625, 0.125], [0.125, 0.625, 0.625], [0.000, 0.000, 0.000], [0.250, 0.250, 0.250]]}

{"formula": "Ta2ReP2", "functional": "PBE-GGA", "state": "optimized geometry", "delta_e_f_mev_per_atom": -389.6, "space_group": "No. 127", "magnetic_moment_mub_per_fu": 0.0, "total_energy_ev_per_atom": -9.784, "cell": [[6.656, 0.000, 0.000], [0.000, 6.656, 0.000], [0.000, 0.000, 3.339]], "species": ["Ta", "Ta", "Ta", "Ta", "P", "P", "P", "P", "Re", "Re"], "fractional_positions": [[0.652, 0.848, 0.500], [0.152, 0.652, 0.500], [0.848, 0.348, 0.500], [0.348, 0.152, 0.500], [0.147, 0.353, 0.000], [0.647, 0.147, 0.000], [0.853, 0.647, 0.000], [0.353, 0.853, 0.000], [0.500, 0.500, 0.000], [0.000, 0.000, 0.000]]}

{"formula": "Dy3Ho3Th2", "functional": "PBE-GGA", "state": "optimized geometry", "delta_e_f_mev_per_atom": 33.6, "space_group": "No. 12", "polymorph_energy_mev_per_atom": 11, "magnetic_moment_mub_per_fu": 0.0, "total_energy_ev_per_atom": -5.264, "cell": [[-2.491, -4.862, -2.776], [4.043, -2.270, -4.007], [3.410, -7.803, 1.668]], "species": ["Ho", "Ho", "Ho", "Dy", "Dy", "Dy", "Th", "Th"], "fractional_positions": [[0.127, 0.627, 0.745], [0.873, 0.373, 0.255], [0.000, 0.000, 0.000], [0.500, 0.500, 0.000], [0.372, 0.872, 0.256], [0.628, 0.128, 0.744], [0.250, 0.250, 0.501], [0.750, 0.750, 0.499]]}

{"formula": "NaZn4Ag2", "functional": "PBE-GGA", "state": "optimized geometry", "delta_e_f_mev_per_atom": 245.4, "space_group": "No. 139", "magnetic_moment_mub_per_fu": 0.0, "total_energy_ev_per_atom": -1.486, "cell": [[-1.091, -4.766, 3.919], [-1.570, 0.217, -6.062], [6.259, 0.030, -0.286]], "species": ["Na", "Zn", "Zn", "Zn", "Zn", "Ag", "Ag"], "fractional_positions": [[0.000, 0.000, 0.000], [0.726, 0.500, 0.226], [0.500, 0.274, 0.774], [0.274, 0.500, 0.774], [0.500, 0.726, 0.226], [0.250, 0.750, 0.500], [0.750, 0.250, 0.500]]}

{"formula": "LiTl2I", "functional": "PBE-GGA", "state": "optimized geometry", "formation_energy_uncorrected_mev_per_atom": -309, "space_group": "No. 122", "polymorph_energy_mev_per_atom": 0, "magnetic_moment_mub_per_fu": 0.0, "total_energy_ev_per_atom": -2.359, "cell": [[4.446, 0.000, 0.000], [0.000, 4.446, 0.000], [2.223, 2.223, 13.371]], "species": ["Tl", "Tl", "Tl", "Tl", "I", "I", "Li", "Li"], "fractional_positions": [[0.875, 0.878, 0.750], [0.122, 0.625, 0.250], [0.628, 0.125, 0.250], [0.375, 0.372, 0.750], [0.750, 0.250, 0.500], [0.000, 0.000, 0.000], [0.250, 0.750, 0.500], [0.500, 0.500, 0.000]]}